VASP calculation (SCAN) on a crystal of Hg3S2F2 relaxed with PBEsol.

Output
Formation energy without anion corrections   -0.811 eV/atom
Spin magnetization   0.000 μB/atom
Space group   No. 199

Structure (CIF):
```
data_Hg3S2F2
_chemical_formula_sum 'Hg6 S4 F4'
_cell_length_a 7.047
_cell_length_b 7.047
_cell_length_c 7.047
_cell_angle_alpha 109.47
_cell_angle_beta 109.47
_cell_angle_gamma 109.47
_symmetry_space_group_name_H-M 'P 1'
_symmetry_Int_Tables_number 1
loop_
_symmetry_equiv_pos_as_xyz
'x,y,z'
loop_
_atom_site_label
_atom_site_type_symbol
_atom_site_fract_x
_atom_site_fract_y
_atom_site_fract_z
_atom_site_occupancy
Hg1 Hg 0.169 0.919 0.250 1
Hg2 Hg 0.250 0.169 0.919 1
Hg3 Hg 0.331 0.581 0.750 1
Hg4 Hg 0.581 0.750 0.331 1
Hg5 Hg 0.750 0.331 0.581 1
Hg6 Hg 0.919 0.250 0.169 1
S1 S 0.000 0.579 0.500 1
S2 S 0.500 0.000 0.579 1
S3 S 0.579 0.500 0.000 1
S4 S 0.921 0.921 0.921 1
F1 F 0.000 0.054 0.500 1
F2 F 0.054 0.500 0.000 1
F3 F 0.446 0.446 0.446 1
F4 F 0.500 0.000 0.054 1
```

---

VASP calculation (SCAN) on a crystal of Al2IrOs relaxed with PBEsol.

Output
Spin magnetization   0.000 μB/atom
Space group   No. 10
ΔE_f   -0.455 eV/atom
E above lowest polymorph   518 meV/atom

Structure (CIF):
```
data_Al2IrOs
_chemical_formula_sum 'Al2 Ir1 Os1'
_cell_length_a 2.776
_cell_length_b 4.077
_cell_length_c 4.981
_cell_angle_alpha 90.00
_cell_angle_beta 92.58
_cell_angle_gamma 90.00
_symmetry_space_group_name_H-M 'P 1'
_symmetry_Int_Tables_number 1
loop_
_symmetry_equiv_pos_as_xyz
'x,y,z'
loop_
_atom_site_label
_atom_site_type_symbol
_atom_site_fract_x
_atom_site_fract_y
_atom_site_fract_z
_atom_site_occupancy
Al1 Al 0.215 0.000 0.246 1
Al2 Al 0.785 0.000 0.754 1
Ir1 Ir 0.000 0.500 0.500 1
Os1 Os 0.500 0.500 0.000 1
```

---

VASP calculation (SCAN) on a crystal of Ba2MnHg relaxed with PBEsol.

Output
Spin magnetization   1.069 μB/atom
Space group   No. 160
ΔE_f   -0.207 eV/atom
E above lowest polymorph   0 meV/atom

Structure (CIF):
```
data_Ba2MnHg
_chemical_formula_sum 'Ba2 Mn1 Hg1'
_cell_length_a 8.552
_cell_length_b 8.552
_cell_length_c 8.552
_cell_angle_alpha 31.82
_cell_angle_beta 31.82
_cell_angle_gamma 31.82
_symmetry_space_group_name_H-M 'P 1'
_symmetry_Int_Tables_number 1
loop_
_symmetry_equiv_pos_as_xyz
'x,y,z'
loop_
_atom_site_label
_atom_site_type_symbol
_atom_site_fract_x
_atom_site_fract_y
_atom_site_fract_z
_atom_site_occupancy
Ba1 Ba 0.000 0.000 0.000 1
Ba2 Ba 0.179 0.179 0.179 1
Mn1 Mn 0.423 0.423 0.423 1
Hg1 Hg 0.756 0.756 0.756 1
```

---

VASP calculation (SCAN) on a crystal of Fe3Sn relaxed with PBEsol.

Output
Spin magnetization   1.911 μB/atom
Space group   No. 221
ΔE_f   0.044 eV/atom

Structure (CIF):
```
data_Fe3Sn
_chemical_formula_sum 'Fe3 Sn1'
_cell_length_a 3.737
_cell_length_b 3.737
_cell_length_c 3.737
_cell_angle_alpha 90.00
_cell_angle_beta 90.00
_cell_angle_gamma 90.00
_symmetry_space_group_name_H-M 'P 1'
_symmetry_Int_Tables_number 1
loop_
_symmetry_equiv_pos_as_xyz
'x,y,z'
loop_
_atom_site_label
_atom_site_type_symbol
_atom_site_fract_x
_atom_site_fract_y
_atom_site_fract_z
_atom_site_occupancy
Fe1 Fe 0.000 0.000 0.500 1
Fe2 Fe 0.000 0.500 0.000 1
Fe3 Fe 0.500 0.000 0.000 1
Sn1 Sn 0.500 0.500 0.500 1
```

---

VASP calculation (SCAN) on a crystal of CrAgCl2 relaxed with PBEsol.

Output
Formation energy without anion corrections   -0.478 eV/atom
Spin magnetization   1.215 μB/atom
Space group   No. 44
E above lowest polymorph   0 meV/atom

Structure (CIF):
```
data_CrAgCl2
_chemical_formula_sum 'Cr1 Ag1 Cl2'
_cell_length_a 6.480
_cell_length_b 6.480
_cell_length_c 6.480
_cell_angle_alpha 151.21
_cell_angle_beta 144.51
_cell_angle_gamma 46.32
_symmetry_space_group_name_H-M 'P 1'
_symmetry_Int_Tables_number 1
loop_
_symmetry_equiv_pos_as_xyz
'x,y,z'
loop_
_atom_site_label
_atom_site_type_symbol
_atom_site_fract_x
_atom_site_fract_y
_atom_site_fract_z
_atom_site_occupancy
Cr1 Cr 0.000 0.000 0.000 1
Ag1 Ag 0.214 0.714 0.500 1
Cl1 Cl 0.532 0.532 0.000 1
Cl2 Cl 0.813 0.313 0.500 1
```

---

VASP calculation (SCAN) on a crystal of Ta2AlFe relaxed with PBEsol.

Output
Spin magnetization   0.431 μB/atom
Space group   No. 119
ΔE_f   -0.026 eV/atom

Structure (CIF):
```
data_Ta2AlFe
_chemical_formula_sum 'Ta2 Al1 Fe1'
_cell_length_a 5.096
_cell_length_b 5.096
_cell_length_c 5.096
_cell_angle_alpha 137.38
_cell_angle_beta 137.38
_cell_angle_gamma 61.85
_symmetry_space_group_name_H-M 'P 1'
_symmetry_Int_Tables_number 1
loop_
_symmetry_equiv_pos_as_xyz
'x,y,z'
loop_
_atom_site_label
_atom_site_type_symbol
_atom_site_fract_x
_atom_site_fract_y
_atom_site_fract_z
_atom_site_occupancy
Ta1 Ta 0.000 0.000 0.000 1
Ta2 Ta 0.750 0.250 0.500 1
Al1 Al 0.500 0.500 0.000 1
Fe1 Fe 0.250 0.750 0.500 1
```

---

VASP calculation (SCAN) on a crystal of NbReSbTe2 relaxed with PBEsol.

Output
Formation energy without anion corrections   1.872 eV/atom
Spin magnetization   0.111 μB/atom
Space group   No. 123
E above lowest polymorph   706 meV/atom

Structure (CIF):
```
data_NbReSbTe2
_chemical_formula_sum 'Nb1 Re1 Sb1 Te2'
_cell_length_a 5.552
_cell_length_b 5.552
_cell_length_c 4.962
_cell_angle_alpha 90.00
_cell_angle_beta 90.00
_cell_angle_gamma 90.00
_symmetry_space_group_name_H-M 'P 1'
_symmetry_Int_Tables_number 1
loop_
_symmetry_equiv_pos_as_xyz
'x,y,z'
loop_
_atom_site_label
_atom_site_type_symbol
_atom_site_fract_x
_atom_site_fract_y
_atom_site_fract_z
_atom_site_occupancy
Nb1 Nb 0.000 0.000 0.000 1
Re1 Re 0.500 0.500 0.000 1
Sb1 Sb 0.500 0.500 0.500 1
Te1 Te 0.000 0.500 0.500 1
Te2 Te 0.500 0.000 0.500 1
```

---

VASP calculation (SCAN) on a crystal of PrAl2Au2 relaxed with PBEsol.

Output
Spin magnetization   0.000 μB/atom
Space group   No. 129
ΔE_f   -1.032 eV/atom

Structure (CIF):
```
data_PrAl2Au2
_chemical_formula_sum 'Pr2 Al4 Au4'
_cell_length_a 4.393
_cell_length_b 4.393
_cell_length_c 10.323
_cell_angle_alpha 90.00
_cell_angle_beta 90.00
_cell_angle_gamma 90.00
_symmetry_space_group_name_H-M 'P 1'
_symmetry_Int_Tables_number 1
loop_
_symmetry_equiv_pos_as_xyz
'x,y,z'
loop_
_atom_site_label
_atom_site_type_symbol
_atom_site_fract_x
_atom_site_fract_y
_atom_site_fract_z
_atom_site_occupancy
Pr1 Pr 0.250 0.250 0.248 1
Pr2 Pr 0.750 0.750 0.752 1
Al1 Al 0.250 0.250 0.870 1
Al2 Al 0.250 0.750 0.500 1
Al3 Al 0.750 0.250 0.500 1
Al4 Al 0.750 0.750 0.130 1
Au1 Au 0.250 0.250 0.629 1
Au2 Au 0.250 0.750 0.000 1
Au3 Au 0.750 0.250 0.000 1
Au4 Au 0.750 0.750 0.371 1
```

---

VASP calculation (SCAN) on a crystal of K2LiDyCl6 relaxed with PBEsol.

Output
Formation energy without anion corrections   -2.308 eV/atom
Spin magnetization   0.000 μB/atom
Space group   No. 225

Structure (CIF):
```
data_K2LiDyCl6
_chemical_formula_sum 'K2 Li1 Dy1 Cl6'
_cell_length_a 7.194
_cell_length_b 7.194
_cell_length_c 7.194
_cell_angle_alpha 60.00
_cell_angle_beta 60.00
_cell_angle_gamma 60.00
_symmetry_space_group_name_H-M 'P 1'
_symmetry_Int_Tables_number 1
loop_
_symmetry_equiv_pos_as_xyz
'x,y,z'
loop_
_atom_site_label
_atom_site_type_symbol
_atom_site_fract_x
_atom_site_fract_y
_atom_site_fract_z
_atom_site_occupancy
K1 K 0.250 0.250 0.250 1
K2 K 0.750 0.750 0.750 1
Li1 Li 0.000 0.000 0.000 1
Dy1 Dy 0.500 0.500 0.500 1
Cl1 Cl 0.246 0.246 0.754 1
Cl2 Cl 0.246 0.754 0.246 1
Cl3 Cl 0.246 0.754 0.754 1
Cl4 Cl 0.754 0.246 0.246 1
Cl5 Cl 0.754 0.246 0.754 1
Cl6 Cl 0.754 0.754 0.246 1
```

---

VASP calculation (SCAN) on a crystal of Cu2SbMo relaxed with PBEsol.

Output
Formation energy without anion corrections   0.333 eV/atom
Spin magnetization   0.000 μB/atom
Space group   No. 99

Structure (CIF):
```
data_Cu2SbMo
_chemical_formula_sum 'Cu2 Sb1 Mo1'
_cell_length_a 3.273
_cell_length_b 3.273
_cell_length_c 5.613
_cell_angle_alpha 90.00
_cell_angle_beta 90.00
_cell_angle_gamma 90.00
_symmetry_space_group_name_H-M 'P 1'
_symmetry_Int_Tables_number 1
loop_
_symmetry_equiv_pos_as_xyz
'x,y,z'
loop_
_atom_site_label
_atom_site_type_symbol
_atom_site_fract_x
_atom_site_fract_y
_atom_site_fract_z
_atom_site_occupancy
Cu1 Cu 0.000 0.000 0.000 1
Cu2 Cu 0.500 0.500 0.192 1
Sb1 Sb 0.500 0.500 0.716 1
Mo1 Mo 0.000 0.000 0.464 1
```

---

VASP calculation (SCAN) on a crystal of CsV3B2P4H8O22 relaxed with PBEsol.

Output
Spin magnetization   0.150 μB/atom
Final energy   -398.6 eV per cell
Space group   No. 12

Structure (CIF):
```
data_CsV3B2P4H8O22
_chemical_formula_sum 'Cs1 V3 B2 P4 H8 O22'
_cell_length_a 10.415
_cell_length_b 10.415
_cell_length_c 5.003
_cell_angle_alpha 99.37
_cell_angle_beta 99.37
_cell_angle_gamma 125.30
_symmetry_space_group_name_H-M 'P 1'
_symmetry_Int_Tables_number 1
loop_
_symmetry_equiv_pos_as_xyz
'x,y,z'
loop_
_atom_site_label
_atom_site_type_symbol
_atom_site_fract_x
_atom_site_fract_y
_atom_site_fract_z
_atom_site_occupancy
Cs1 Cs 0.000 0.000 0.000 1
V1 V 0.000 0.500 0.000 1
V2 V 0.500 0.000 0.000 1
V3 V 0.500 0.500 0.500 1
B1 B 0.166 0.834 0.500 1
B2 B 0.834 0.166 0.500 1
P1 P 0.146 0.426 0.523 1
P2 P 0.426 0.146 0.523 1
P3 P 0.574 0.854 0.477 1
P4 P 0.854 0.574 0.477 1
H1 H 0.219 0.720 0.748 1
H2 H 0.280 0.781 0.252 1
H3 H 0.321 0.404 0.962 1
H4 H 0.404 0.321 0.962 1
H5 H 0.596 0.679 0.038 1
H6 H 0.679 0.596 0.038 1
H7 H 0.720 0.219 0.748 1
H8 H 0.781 0.280 0.252 1
O1 O 0.005 0.241 0.505 1
O2 O 0.124 0.447 0.228 1
O3 O 0.138 0.542 0.740 1
O4 O 0.162 0.736 0.245 1
O5 O 0.241 0.005 0.505 1
O6 O 0.264 0.838 0.755 1
O7 O 0.311 0.456 0.632 1
O8 O 0.350 0.350 0.080 1
O9 O 0.447 0.124 0.228 1
O10 O 0.456 0.311 0.632 1
O11 O 0.458 0.862 0.260 1
O12 O 0.542 0.138 0.740 1
O13 O 0.544 0.689 0.368 1
O14 O 0.553 0.876 0.772 1
O15 O 0.650 0.650 0.920 1
O16 O 0.689 0.544 0.368 1
O17 O 0.736 0.162 0.245 1
O18 O 0.759 0.995 0.495 1
O19 O 0.838 0.264 0.755 1
O20 O 0.862 0.458 0.260 1
O21 O 0.876 0.553 0.772 1
O22 O 0.995 0.759 0.495 1
```

---

VASP calculation (SCAN) on a crystal of ReWAu2 relaxed with PBEsol.

Output
Spin magnetization   0.000 μB/atom
Space group   No. 166
ΔE_f   0.465 eV/atom
E above lowest polymorph   56 meV/atom

Structure (CIF):
```
data_ReWAu2
_chemical_formula_sum 'Re1 W1 Au2'
_cell_length_a 9.547
_cell_length_b 9.547
_cell_length_c 9.547
_cell_angle_alpha 16.75
_cell_angle_beta 16.75
_cell_angle_gamma 16.75
_symmetry_space_group_name_H-M 'P 1'
_symmetry_Int_Tables_number 1
loop_
_symmetry_equiv_pos_as_xyz
'x,y,z'
loop_
_atom_site_label
_atom_site_type_symbol
_atom_site_fract_x
_atom_site_fract_y
_atom_site_fract_z
_atom_site_occupancy
Re1 Re 0.000 0.000 0.000 1
W1 W 0.500 0.500 0.500 1
Au1 Au 0.250 0.250 0.250 1
Au2 Au 0.750 0.750 0.750 1
```